VASP calculation (PBE with a Hubbard U) on an optimized crystal structure of AcMo2O8.

The structure in POSCAR format:
```
AcMo2O8
1.0
-6.0923 2.2925 -1.2514
-3.8463 -2.7990 3.7040
-2.5000 1.6182 5.2421
O Ac Mo
8 1 2
direct
0.2276 0.3859 0.8712
0.7724 0.1288 0.6141
0.6119 0.1776 0.1776
0.2276 0.8712 0.3859
0.8378 0.6170 0.6170
0.1622 0.3830 0.3830
0.3881 0.8224 0.8224
0.7724 0.6141 0.1288
0.0000 0.0000 0.0000
0.3202 0.2146 0.2146
0.6798 0.7854 0.7854
```

- raw total energy (hartree per atom) = -0.261
- crystal system = monoclinic